# 1
Here is an optimized crystal structure of AcErZr from OQMD. Energies are from GGA-PBE.

Cell lengths 5.403, 5.403, 5.403 Å; angles 60.00, 60.00, 60.00 degrees
Atoms (fractional coordinates):
Ac 0.000 0.000 0.000
Er 0.250 0.250 0.250
Zr 0.750 0.750 0.750

## Properties
- Calculated formation energy: 1.107 eV/atom


# 2
Here is an optimized crystal structure of Be2AgPt2 from OQMD. Energies are from GGA-PBE.

Cell lengths 6.809, 6.809, 2.781 Å; angles 90.00, 90.00, 90.00 degrees
Atoms (fractional coordinates):
Ag 0.000 0.000 0.000
Ag 0.500 0.500 0.000
Be 0.634 0.134 0.000
Be 0.134 0.366 0.000
Be 0.866 0.634 0.000
Be 0.366 0.866 0.000
Pt 0.344 0.156 0.500
Pt 0.844 0.344 0.500
Pt 0.156 0.656 0.500
Pt 0.656 0.844 0.500


| no. | electronic total energy (eV/cell) |
| --- | --- |
| 1 | -13.9 |
| 2 | -49.9 |